A plane-wave DFT calculation with PBE was carried out for a geometry-optimized Pr2ZrGa3Rh4 structure.

Cell lengths 4.2556, 4.2556, 10.8759 Å; angles 90.00, 90.00, 90.00 degrees
Closest atoms and distances in Å follow each position.
Element x y z (fractional)
1 Pr 0.5000 0.0000 0.2286  4 Ga 3.23, 8 Rh 3.27-3.30
2 Pr 0.0000 0.5000 0.7714  4 Ga 3.23, 8 Rh 3.27-3.30
3 Zr 0.5000 0.5000 0.5000  4 Rh 2.66
4 Ga 0.0000 0.0000 0.5000  4 Rh 2.66
5 Ga 0.5000 0.0000 0.8799  5 Rh 2.50-2.54
6 Ga 0.0000 0.5000 0.1201  5 Rh 2.50-2.54
7 Rh 0.5000 0.5000 0.0000  4 Ga 2.50
8 Rh 0.0000 0.0000 0.0000  4 Ga 2.50
9 Rh 0.5000 0.0000 0.6464  3 Ga 2.54-2.66, 2 Zr 2.66
10 Rh 0.0000 0.5000 0.3536  3 Ga 2.54-2.66, 2 Zr 2.66

Properties
ΔE_f (eV/atom): -0.781
E (eV per cell): -64.41

A plane-wave DFT calculation with PBE was carried out for a geometry-optimized Cd5In structure.

Cell lengths 3.2355, 3.2355, 13.3738 Å; angles 90.00, 90.00, 90.00 degrees
Closest atoms and distances in Å follow each position.
Element x y z (fractional)
1 Cd 0.0000 0.0000 0.6757  8 Cd 3.16-3.24, 4 In 3.28
2 Cd 0.5000 0.5000 0.8390  12 Cd 3.14-3.24
3 Cd 0.0000 0.0000 0.0000  12 Cd 3.14-3.24
4 Cd 0.5000 0.5000 0.1610  12 Cd 3.14-3.24
5 Cd 0.0000 0.0000 0.3243  8 Cd 3.16-3.24, 4 In 3.28
6 In 0.5000 0.5000 0.5000  4 In 3.24, 8 Cd 3.28

Properties
ΔE_f (eV/atom): 0.010
Energy relative to the lowest polymorph listed for this composition (meV per atom): 0.0
E (eV per cell): -7.25

A plane-wave DFT calculation with PBE was carried out for a geometry-optimized Mg5NpRh6 structure.

Cell lengths 4.5048, 6.3467, 7.0543 Å; angles 90.00, 71.38, 90.00 degrees
Closest atoms and distances in Å follow each position.
Element x y z (fractional)
1 Np 0.0000 0.0000 0.0000  8 Rh 2.66-2.74
2 Mg 0.6681 0.5000 0.6638  8 Rh 2.76-2.79
3 Mg 0.3260 0.0000 0.3481  8 Rh 2.70-2.80
4 Mg 0.0000 0.5000 0.0000  8 Rh 2.70-2.77
5 Mg 0.6740 0.0000 0.6519  8 Rh 2.70-2.80
6 Mg 0.3319 0.5000 0.3362  8 Rh 2.76-2.79
7 Rh 0.8385 0.7542 0.3229  1 Np 2.66, 7 Mg 2.70-2.79
8 Rh 0.8385 0.2458 0.3229  1 Np 2.66, 7 Mg 2.70-2.79
9 Rh 0.5000 0.2467 0.0000  2 Np 2.74, 6 Mg 2.76-2.80
10 Rh 0.5000 0.7533 0.0000  2 Np 2.74, 6 Mg 2.76-2.80
11 Rh 0.1615 0.7542 0.6771  1 Np 2.66, 7 Mg 2.70-2.79
12 Rh 0.1615 0.2458 0.6771  1 Np 2.66, 7 Mg 2.70-2.79

Properties
ΔE_f (eV/atom): -0.554
E (eV per cell): -71.67